Run 1
Material: CsBeNi3
Method: DFT, PBE
State: relaxed Values from VASP.

Cell and atoms, written as Quantum ESPRESSO input:
```
&SYSTEM
  ibrav = 0, nat = 5, ntyp = 3
/
ATOMIC_SPECIES
Cs 132.91 Cs.upf
Be 9.01 Be.upf
Ni 58.69 Ni.upf
CELL_PARAMETERS angstrom
4.303 0.000 0.000
0.000 4.303 0.000
0.000 0.000 4.303
ATOMIC_POSITIONS crystal
Cs 0.000 0.000 0.000
Be 0.500 0.500 0.500
Ni 0.000 0.500 0.500
Ni 0.500 0.000 0.500
Ni 0.500 0.500 0.000
```

***

Run 2
Material: CsBeNi3
Method: DFT, PBE
State: relaxed Values from VASP.

Cell and atoms, written as Quantum ESPRESSO input:
```
&SYSTEM
  ibrav = 0, nat = 5, ntyp = 3
/
ATOMIC_SPECIES
Cs 132.91 Cs.upf
Be 9.01 Be.upf
Ni 58.69 Ni.upf
CELL_PARAMETERS angstrom
4.796 0.000 0.000
0.000 4.796 0.000
0.000 0.000 4.796
ATOMIC_POSITIONS crystal
Cs 0.000 0.000 0.000
Be 0.500 0.500 0.500
Ni 0.000 0.000 0.500
Ni 0.000 0.500 0.000
Ni 0.500 0.000 0.000
```

***

Looking at the structures above, run 1 is most stable, and the difference to the next one is 1.612 eV/atom.